# GGA-PBE Bi2PdAu, relaxed
# - DOS at the Fermi energy (states/eV/f.u.) = 1.4
# - spin magnetization (μB per cell) = 0.00
# - energy of formation from the pure elements (kJ/mol of formula units) = -62
data_Bi2PdAu
_cell_length_a 7.1708
_cell_length_b 7.5014
_cell_length_c 7.2347
_cell_angle_alpha 90.00
_cell_angle_beta 90.00
_cell_angle_gamma 90.00
_symmetry_space_group_name_H-M 'P n m a'
_symmetry_Int_Tables_number 62
_symmetry_space_group_name_Hall '-P 2ac 2n'
loop_
_atom_site_label
_atom_site_type_symbol
_atom_site_fract_x
_atom_site_fract_y
_atom_site_fract_z
Bi1 Bi 0.1563 0.0174 0.1874
Pd1 Pd 0.1274 0.2500 0.8647
Au1 Au 0.0106 0.2500 0.4857

---

# GGA-PBE BiPd7Au4, relaxed
# - DOS at the Fermi energy (states/eV/f.u.) = 10.0
# - spin magnetization (μB per cell) = 0.00
# - energy of formation from the pure elements (kJ/mol of formula units) = 84
data_BiPd7Au4
_cell_length_a 10.2076
_cell_length_b 5.0224
_cell_length_c 9.9114
_cell_angle_alpha 90.00
_cell_angle_beta 119.11
_cell_angle_gamma 90.00
_symmetry_space_group_name_H-M 'C 1 2/m 1'
_symmetry_Int_Tables_number 12
_symmetry_space_group_name_Hall '-C 2y'
loop_
_atom_site_label
_atom_site_type_symbol
_atom_site_fract_x
_atom_site_fract_y
_atom_site_fract_z
Bi1 Bi 0.0000 0.0000 0.0000
Pd1 Pd 0.0000 0.5000 0.0000
Pd2 Pd 0.1143 0.0000 0.4570
Pd3 Pd 0.1521 0.5000 0.6157
Pd4 Pd 0.2149 0.5000 0.9155
Au1 Au 0.0851 0.5000 0.3123
Au2 Au 0.1817 0.0000 0.7684

---

# GGA-PBE Bi4PdAu2, relaxed
# - DOS at the Fermi energy (states/eV/f.u.) = 3.2
# - spin magnetization (μB per cell) = 0.00
# - energy of formation from the pure elements (kJ/mol of formula units) = -83
data_Bi4PdAu2
_cell_length_a 13.4518
_cell_length_b 4.3999
_cell_length_c 7.5728
_cell_angle_alpha 90.00
_cell_angle_beta 123.23
_cell_angle_gamma 90.00
_symmetry_space_group_name_H-M 'C 1 2/m 1'
_symmetry_Int_Tables_number 12
_symmetry_space_group_name_Hall '-C 2y'
loop_
_atom_site_label
_atom_site_type_symbol
_atom_site_fract_x
_atom_site_fract_y
_atom_site_fract_z
Bi1 Bi 0.1091 0.0000 0.4559
Bi2 Bi 0.1230 0.5000 0.9581
Pd1 Pd 0.0000 0.0000 0.0000
Au1 Au 0.2426 0.5000 0.7286

---

# GGA-PBE BiPd8Au5, relaxed
# - DOS at the Fermi energy (states/eV/f.u.) = 8.4
# - spin magnetization (μB per cell) = 0.00
# - energy of formation from the pure elements (kJ/mol of formula units) = 12
data_BiPd8Au5
_cell_length_a 7.9142
_cell_length_b 7.9142
_cell_length_c 8.0623
_cell_angle_alpha 90.00
_cell_angle_beta 90.00
_cell_angle_gamma 90.00
_symmetry_space_group_name_H-M 'I -4'
_symmetry_Int_Tables_number 82
_symmetry_space_group_name_Hall 'I -4'
loop_
_atom_site_label
_atom_site_type_symbol
_atom_site_fract_x
_atom_site_fract_y
_atom_site_fract_z
Bi1 Bi 0.0000 0.0000 0.0000
Pd1 Pd 0.0623 0.8374 0.6611
Pd2 Pd 0.1125 0.6839 0.0024
Au1 Au 0.0000 0.5000 0.7500
Au2 Au 0.1136 0.7025 0.3383

---

# GGA-PBE Bi4Pd2Au3, relaxed
# - DOS at the Fermi energy (states/eV/f.u.) = 2.6
# - spin magnetization (μB per cell) = 0.00
# - energy of formation from the pure elements (kJ/mol of formula units) = -107
data_Bi4Pd2Au3
_cell_length_a 15.4600
_cell_length_b 4.2878
_cell_length_c 6.8678
_cell_angle_alpha 90.00
_cell_angle_beta 110.83
_cell_angle_gamma 90.00
_symmetry_space_group_name_H-M 'C 1 2/m 1'
_symmetry_Int_Tables_number 12
_symmetry_space_group_name_Hall '-C 2y'
loop_
_atom_site_label
_atom_site_type_symbol
_atom_site_fract_x
_atom_site_fract_y
_atom_site_fract_z
Bi1 Bi 0.0780 0.0000 0.3548
Bi2 Bi 0.2315 0.5000 0.1791
Pd1 Pd 0.1125 0.0000 0.9611
Au1 Au 0.0000 0.5000 0.0000
Au2 Au 0.0920 0.5000 0.6707

---

# GGA-PBE Bi2Pd15Au2, relaxed
# - DOS at the Fermi energy (states/eV/f.u.) = 20.3
# - spin magnetization (μB per cell) = 0.00
# - energy of formation from the pure elements (kJ/mol of formula units) = 36
data_Bi2Pd15Au2
_cell_length_a 9.1204
_cell_length_b 9.1204
_cell_length_c 13.9595
_cell_angle_alpha 90.00
_cell_angle_beta 90.00
_cell_angle_gamma 120.00
_symmetry_space_group_name_H-M 'R -3 m'
_symmetry_Int_Tables_number 166
_symmetry_space_group_name_Hall '-R 3 2"'
loop_
_atom_site_label
_atom_site_type_symbol
_atom_site_fract_x
_atom_site_fract_y
_atom_site_fract_z
Bi1 Bi 0.0000 0.0000 0.1447
Pd1 Pd 0.0000 0.3261 0.5000
Pd2 Pd 0.0000 0.5000 0.0000
Pd3 Pd 0.0044 0.5022 0.6640
Au1 Au 0.0000 0.0000 0.4011

---

# GGA-PBE Bi2Pd2Au, relaxed
# - DOS at the Fermi energy (states/eV/f.u.) = 2.2
# - spin magnetization (μB per cell) = 0.00
# - energy of formation from the pure elements (kJ/mol of formula units) = -89
data_Bi2Pd2Au
_cell_length_a 12.1378
_cell_length_b 5.1911
_cell_length_c 8.1582
_cell_angle_alpha 90.00
_cell_angle_beta 121.20
_cell_angle_gamma 90.00
_symmetry_space_group_name_H-M 'C 1 2/m 1'
_symmetry_Int_Tables_number 12
_symmetry_space_group_name_Hall '-C 2y'
loop_
_atom_site_label
_atom_site_type_symbol
_atom_site_fract_x
_atom_site_fract_y
_atom_site_fract_z
Bi1 Bi 0.0977 0.0000 0.3512
Bi2 Bi 0.2338 0.5000 0.1546
Pd1 Pd 0.0026 0.5000 0.1882
Pd2 Pd 0.1232 0.0000 0.0245
Au1 Au 0.1360 0.5000 0.6052

---

# GGA-PBE BiPd3Au2, relaxed
# - DOS at the Fermi energy (states/eV/f.u.) = 1.9
# - spin magnetization (μB per cell) = 0.00
# - energy of formation from the pure elements (kJ/mol of formula units) = -97
data_BiPd3Au2
_cell_length_a 4.6688
_cell_length_b 4.6688
_cell_length_c 5.7255
_cell_angle_alpha 90.00
_cell_angle_beta 90.00
_cell_angle_gamma 120.00
_symmetry_space_group_name_H-M 'P -3 m 1'
_symmetry_Int_Tables_number 164
_symmetry_space_group_name_Hall '-P 3 2"'
loop_
_atom_site_label
_atom_site_type_symbol
_atom_site_fract_x
_atom_site_fract_y
_atom_site_fract_z
Bi1 Bi 0.0000 0.0000 0.0000
Pd1 Pd 0.0000 0.0000 0.5000
Pd2 Pd 0.3333 0.6667 0.1616
Au1 Au 0.3333 0.6667 0.6496

---

# GGA-PBE Bi3Pd3Au, relaxed
# - DOS at the Fermi energy (states/eV/f.u.) = 2.8
# - spin magnetization (μB per cell) = 0.00
# - energy of formation from the pure elements (kJ/mol of formula units) = -98
data_Bi3Pd3Au
_cell_length_a 12.0432
_cell_length_b 3.6328
_cell_length_c 14.3353
_cell_angle_alpha 90.00
_cell_angle_beta 90.00
_cell_angle_gamma 90.00
_symmetry_space_group_name_H-M 'P n m a'
_symmetry_Int_Tables_number 62
_symmetry_space_group_name_Hall '-P 2ac 2n'
loop_
_atom_site_label
_atom_site_type_symbol
_atom_site_fract_x
_atom_site_fract_y
_atom_site_fract_z
Bi1 Bi 0.0572 0.2500 0.1017
Bi2 Bi 0.1823 0.7500 0.5154
Bi3 Bi 0.2250 0.2500 0.3080
Pd1 Pd 0.0337 0.2500 0.4215
Pd2 Pd 0.1255 0.2500 0.8966
Pd3 Pd 0.2430 0.2500 0.6609
Au1 Au 0.0181 0.2500 0.7217

---

# GGA-PBE Bi2PdAu, relaxed
# - DOS at the Fermi energy (states/eV/f.u.) = 3.4
# - spin magnetization (μB per cell) = 0.00
# - energy of formation from the pure elements (kJ/mol of formula units) = 90
data_Bi2PdAu
_cell_length_a 3.4212
_cell_length_b 3.4212
_cell_length_c 30.0365
_cell_angle_alpha 90.00
_cell_angle_beta 90.00
_cell_angle_gamma 120.00
_symmetry_space_group_name_H-M 'R -3 m'
_symmetry_Int_Tables_number 166
_symmetry_space_group_name_Hall '-R 3 2"'
loop_
_atom_site_label
_atom_site_type_symbol
_atom_site_fract_x
_atom_site_fract_y
_atom_site_fract_z
Bi1 Bi 0.0000 0.0000 0.0897
Pd1 Pd 0.0000 0.0000 0.0000
Au1 Au 0.0000 0.0000 0.5000

---

# GGA-PBE Bi4Pd5Au, relaxed
# - DOS at the Fermi energy (states/eV/f.u.) = 4.5
# - spin magnetization (μB per cell) = 0.00
# - energy of formation from the pure elements (kJ/mol of formula units) = -185
data_Bi4Pd5Au
_cell_length_a 8.6097
_cell_length_b 8.6097
_cell_length_c 5.7853
_cell_angle_alpha 90.00
_cell_angle_beta 90.00
_cell_angle_gamma 90.00
_symmetry_space_group_name_H-M 'I 4'
_symmetry_Int_Tables_number 79
_symmetry_space_group_name_Hall 'I 4'
loop_
_atom_site_label
_atom_site_type_symbol
_atom_site_fract_x
_atom_site_fract_y
_atom_site_fract_z
Bi1 Bi 0.0698 0.6952 0.0000
Pd1 Pd 0.0000 0.0000 0.2256
Pd2 Pd 0.0955 0.7450 0.4910
Au1 Au 0.0000 0.0000 0.7410

---

# GGA-PBE Bi2Pd8Au3, relaxed
# - DOS at the Fermi energy (states/eV/f.u.) = 7.6
# - spin magnetization (μB per cell) = 0.00
# - energy of formation from the pure elements (kJ/mol of formula units) = -89
data_Bi2Pd8Au3
_cell_length_a 13.0319
_cell_length_b 7.7282
_cell_length_c 4.8263
_cell_angle_alpha 90.00
_cell_angle_beta 99.62
_cell_angle_gamma 90.00
_symmetry_space_group_name_H-M 'C 1 2/m 1'
_symmetry_Int_Tables_number 12
_symmetry_space_group_name_Hall '-C 2y'
loop_
_atom_site_label
_atom_site_type_symbol
_atom_site_fract_x
_atom_site_fract_y
_atom_site_fract_z
Bi1 Bi 0.1590 0.0000 0.3201
Pd1 Pd 0.0604 0.0000 0.7764
Pd2 Pd 0.1782 0.2924 0.7143
Pd3 Pd 0.1832 0.5000 0.1995
Au1 Au 0.0000 0.3107 0.0000
Au2 Au 0.0000 0.5000 0.5000

---

# GGA-PBE BiPd5Au6, relaxed
# - DOS at the Fermi energy (states/eV/f.u.) = 4.2
# - spin magnetization (μB per cell) = 0.00
# - energy of formation from the pure elements (kJ/mol of formula units) = -112
data_BiPd5Au6
_cell_length_a 4.2051
_cell_length_b 8.2075
_cell_length_c 12.2618
_cell_angle_alpha 90.00
_cell_angle_beta 90.00
_cell_angle_gamma 90.00
_symmetry_space_group_name_H-M 'I m m m'
_symmetry_Int_Tables_number 71
_symmetry_space_group_name_Hall '-I 2 2'
loop_
_atom_site_label
_atom_site_type_symbol
_atom_site_fract_x
_atom_site_fract_y
_atom_site_fract_z
Bi1 Bi 0.0000 0.0000 0.0000
Pd1 Pd 0.0000 0.0000 0.3233
Pd2 Pd 0.0000 0.5000 0.0000
Pd3 Pd 0.0000 0.5000 0.3433
Au1 Au 0.0000 0.2241 0.5000
Au2 Au 0.0000 0.2651 0.1707

---

# GGA-PBE Bi2PdAu, relaxed
# - DOS at the Fermi energy (states/eV/f.u.) = 1.7
# - spin magnetization (μB per cell) = 0.00
# - energy of formation from the pure elements (kJ/mol of formula units) = -42
data_Bi2PdAu
_cell_length_a 3.5065
_cell_length_b 3.5065
_cell_length_c 7.4709
_cell_angle_alpha 90.00
_cell_angle_beta 90.00
_cell_angle_gamma 90.00
_symmetry_space_group_name_H-M 'P 4/m m m'
_symmetry_Int_Tables_number 123
_symmetry_space_group_name_Hall '-P 4 2'
loop_
_atom_site_label
_atom_site_type_symbol
_atom_site_fract_x
_atom_site_fract_y
_atom_site_fract_z
Bi1 Bi 0.0000 0.0000 0.2367
Pd1 Pd 0.5000 0.5000 0.0000
Au1 Au 0.5000 0.5000 0.5000

---

# GGA-PBE Bi3PdAu2, relaxed
# - DOS at the Fermi energy (states/eV/f.u.) = 3.0
# - spin magnetization (μB per cell) = 0.00
# - energy of formation from the pure elements (kJ/mol of formula units) = -62
data_Bi3PdAu2
_cell_length_a 12.1096
_cell_length_b 4.2764
_cell_length_c 11.4406
_cell_angle_alpha 90.00
_cell_angle_beta 90.00
_cell_angle_gamma 90.00
_symmetry_space_group_name_H-M 'P n m a'
_symmetry_Int_Tables_number 62
_symmetry_space_group_name_Hall '-P 2ac 2n'
loop_
_atom_site_label
_atom_site_type_symbol
_atom_site_fract_x
_atom_site_fract_y
_atom_site_fract_z
Bi1 Bi 0.0562 0.2500 0.1175
Bi2 Bi 0.1117 0.7500 0.5485
Bi3 Bi 0.2349 0.2500 0.7915
Pd1 Pd 0.1226 0.2500 0.3721
Au1 Au 0.0072 0.2500 0.7128
Au2 Au 0.1710 0.7500 0.9793

---

# GGA-PBE Bi2Pd2Au, relaxed
# - DOS at the Fermi energy (states/eV/f.u.) = 2.0
# - spin magnetization (μB per cell) = 0.00
# - energy of formation from the pure elements (kJ/mol of formula units) = -96
data_Bi2Pd2Au
_cell_length_a 3.9765
_cell_length_b 6.5931
_cell_length_c 8.2621
_cell_angle_alpha 90.00
_cell_angle_beta 90.00
_cell_angle_gamma 90.00
_symmetry_space_group_name_H-M 'I m m m'
_symmetry_Int_Tables_number 71
_symmetry_space_group_name_Hall '-I 2 2'
loop_
_atom_site_label
_atom_site_type_symbol
_atom_site_fract_x
_atom_site_fract_y
_atom_site_fract_z
Bi1 Bi 0.0000 0.0000 0.2071
Pd1 Pd 0.0000 0.2883 0.5000
Au1 Au 0.0000 0.5000 0.0000

---

# GGA-PBE BiPd2Au, relaxed
# - DOS at the Fermi energy (states/eV/f.u.) = 2.2
# - spin magnetization (μB per cell) = 0.00
# - energy of formation from the pure elements (kJ/mol of formula units) = 55
data_BiPd2Au
_cell_length_a 3.1611
_cell_length_b 4.8575
_cell_length_c 10.8114
_cell_angle_alpha 90.00
_cell_angle_beta 90.00
_cell_angle_gamma 90.00
_symmetry_space_group_name_H-M 'I m m m'
_symmetry_Int_Tables_number 71
_symmetry_space_group_name_Hall '-I 2 2'
loop_
_atom_site_label
_atom_site_type_symbol
_atom_site_fract_x
_atom_site_fract_y
_atom_site_fract_z
Bi1 Bi 0.0000 0.0000 0.0000
Pd1 Pd 0.0000 0.0000 0.2499
Au1 Au 0.0000 0.0000 0.5000

---

# GGA-PBE Bi3Pd7Au2, relaxed
# - DOS at the Fermi energy (states/eV/f.u.) = 5.0
# - spin magnetization (μB per cell) = 0.00
# - energy of formation from the pure elements (kJ/mol of formula units) = -137
data_Bi3Pd7Au2
_cell_length_a 4.7336
_cell_length_b 20.6647
_cell_length_c 4.8702
_cell_angle_alpha 90.00
_cell_angle_beta 90.00
_cell_angle_gamma 90.00
_symmetry_space_group_name_H-M 'C m m m'
_symmetry_Int_Tables_number 65
_symmetry_space_group_name_Hall '-C 2 2'
loop_
_atom_site_label
_atom_site_type_symbol
_atom_site_fract_x
_atom_site_fract_y
_atom_site_fract_z
Bi1 Bi 0.0000 0.0000 0.0000
Bi2 Bi 0.0000 0.1635 0.0000
Pd1 Pd 0.0000 0.0735 0.5000
Pd2 Pd 0.0000 0.2187 0.5000
Pd3 Pd 0.0000 0.4236 0.0000
Pd4 Pd 0.0000 0.5000 0.5000
Au1 Au 0.0000 0.3553 0.5000

---

# GGA-PBE BiPd2Au, relaxed
# - DOS at the Fermi energy (states/eV/f.u.) = 3.9
# - spin magnetization (μB per cell) = 0.00
# - energy of formation from the pure elements (kJ/mol of formula units) = -51
data_BiPd2Au
_cell_length_a 4.5302
_cell_length_b 4.5302
_cell_length_c 3.6760
_cell_angle_alpha 90.00
_cell_angle_beta 90.00
_cell_angle_gamma 90.00
_symmetry_space_group_name_H-M 'P 4/m m m'
_symmetry_Int_Tables_number 123
_symmetry_space_group_name_Hall '-P 4 2'
loop_
_atom_site_label
_atom_site_type_symbol
_atom_site_fract_x
_atom_site_fract_y
_atom_site_fract_z
Bi1 Bi 0.0000 0.0000 0.0000
Pd1 Pd 0.0000 0.5000 0.5000
Au1 Au 0.5000 0.5000 0.0000

---

# GGA-PBE Bi2Pd4Au, relaxed
# - DOS at the Fermi energy (states/eV/f.u.) = 4.0
# - spin magnetization (μB per cell) = 0.00
# - energy of formation from the pure elements (kJ/mol of formula units) = -85
data_Bi2Pd4Au
_cell_length_a 8.6788
_cell_length_b 4.7353
_cell_length_c 8.3342
_cell_angle_alpha 90.00
_cell_angle_beta 119.15
_cell_angle_gamma 90.00
_symmetry_space_group_name_H-M 'C 1 2/m 1'
_symmetry_Int_Tables_number 12
_symmetry_space_group_name_Hall '-C 2y'
loop_
_atom_site_label
_atom_site_type_symbol
_atom_site_fract_x
_atom_site_fract_y
_atom_site_fract_z
Bi1 Bi 0.1751 0.0000 0.3246
Pd1 Pd 0.0036 0.5000 0.6738
Pd2 Pd 0.1613 0.0000 0.9770
Au1 Au 0.0000 0.5000 0.0000